No. 1
Density functional theory data (PBE) for an optimized crystal structure of SrGdAl4.

Cell and atoms, written as POSCAR:
```
SrGdAl4
1.0
-3.9760 -2.9185 2.8809
-0.7463 -5.5718 -1.0120
1.5629 -3.8492 3.9201
Al Gd Sr
4 1 1
direct
0.6255 0.1235 0.6255
0.6255 0.6255 0.6255
0.6255 0.6255 0.1235
0.1235 0.6255 0.6255
0.0000 0.0000 0.0000
0.2500 0.2500 0.2500
```

formation energy = -0.356 eV per atom
SG = F-43m, No. 216



No. 2
Density functional theory data (PBE) for an optimized crystal structure of NbRhW.

Cell and atoms, written as POSCAR:
```
NbRhW
1.0
-0.4843 -2.4384 2.8161
3.0225 1.4027 1.7343
-4.1799 4.7792 3.4194
Rh Nb W
2 2 2
direct
0.0000 0.5000 0.7875
0.5000 0.0000 0.2125
0.0000 0.5000 0.1413
0.5000 0.0000 0.8587
0.5000 0.5000 0.5000
0.0000 0.0000 0.5000
```

formation energy = 0.055 eV per atom
relative energy among the computed polymorphs = 255 meV/atom
SG = P4/nmm, No. 129



No. 3
Density functional theory data (PBE) for an optimized crystal structure of MnHgS2.

Cell and atoms, written as POSCAR:
```
MnHgS2
1.0
-0.4063 2.7318 8.9111
-1.7163 2.8492 -0.1864
-1.6264 -2.9070 0.0517
Mn S Hg
1 2 1
direct
0.5000 0.5000 0.5000
0.3533 0.2265 0.7735
0.6467 0.7735 0.2265
0.0000 0.0000 0.0000
```

relative energy among the computed polymorphs = 1 meV/atom
SG = C2/m, No. 12
formation energy (no corrections) = -0.411 eV/atom



No. 4
Density functional theory data (PBE) for an optimized crystal structure of Si2IrOs2.

Cell and atoms, written as POSCAR:
```
Si2IrOs2
1.0
-5.7349 3.5297 1.9046
-2.7300 -5.8700 2.6582
1.1721 0.5726 2.4681
Os Ir Si
4 2 4
direct
0.8476 0.3476 0.5000
0.6524 0.8476 0.5000
0.3476 0.1524 0.5000
0.1524 0.6524 0.5000
0.0000 0.0000 0.0000
0.5000 0.5000 0.0000
0.8528 0.6472 0.0000
0.1472 0.3528 0.0000
0.6472 0.1472 0.0000
0.3528 0.8528 0.0000
```

SG = P4/mbm, No. 127
formation energy (no corrections) = -0.077 eV/atom



No. 5
Density functional theory data (PBE) for an optimized crystal structure of Sr2SnMoP.

Cell and atoms, written as POSCAR:
```
Sr2SnMoP
1.0
6.2707 0.0000 0.0000
0.0000 5.1268 0.0000
0.0000 0.0000 6.2707
Sn P Sr Mo
1 1 2 1
direct
0.0000 0.0000 0.0000
0.0000 0.5000 0.0000
0.5000 0.0000 0.0000
0.0000 0.0000 0.5000
0.5000 0.5000 0.5000
```

formation energy = 0.984 eV per atom
SG = P4/mmm, No. 123